[1]
Crystalline NbCo2O at its relaxed geometry, computed with PBE+U.

Cell: 5.534 5.534 7.285 Å, 90.00 90.00 90.00°
Fractional coordinates of all 16 atoms:
Nb: 0.000 0.000 0.000
Nb: 0.000 0.500 0.250
Nb: 0.500 0.000 0.750
Nb: 0.500 0.500 0.500
Co: 0.156 0.250 0.625
Co: 0.250 0.656 0.875
Co: 0.250 0.844 0.375
Co: 0.344 0.250 0.125
Co: 0.656 0.750 0.125
Co: 0.750 0.156 0.375
Co: 0.750 0.344 0.875
Co: 0.844 0.750 0.625
O: 0.000 0.000 0.500
O: 0.000 0.500 0.750
O: 0.500 0.000 0.250
O: 0.500 0.500 0.000

## Properties
The value obtained for the uncorrected energy is -5.89 eV/atom. For the total magnetization, the calculation gives 0.64 μB per atom.

***

[2]
Crystalline NbCoP2O at its relaxed geometry, computed with PBE+U.

Cell: 4.941 4.941 3.856 Å, 90.00 90.00 90.00°
Fractional coordinates of all 5 atoms:
Nb: 0.000 0.000 0.000
Co: 0.500 0.500 0.500
P: 0.000 0.500 0.000
P: 0.500 0.000 0.000
O: 0.000 0.000 0.500

## Properties
For the distance to the lowest polymorph of the same formula, the calculation gives 0.00 eV per formula unit. For the total magnetization, the calculation gives 0.48 μB per atom.